(1)
Compound: Sr2BeAg2
Source: Alexandria
Functional: PBE-GGA
Structure: optimized geometry Values from VASP.

Energy   -24.5 eV/cell
Calculated volume   268 Å³/cell

```
&SYSTEM
  ibrav = 0, nat = 10, ntyp = 3
/
ATOMIC_SPECIES
Sr 87.62 Sr.upf
Be 9.01 Be.upf
Ag 107.87 Ag.upf
CELL_PARAMETERS angstrom
7.4338 0.0000 0.0000
0.0000 7.4338 0.0000
0.0000 0.0000 4.8441
ATOMIC_POSITIONS angstrom
Sr 1.3145 2.4024 0.0000
Sr 2.4024 6.1193 0.0000
Sr 5.0314 1.3145 0.0000
Sr 6.1193 5.0314 0.0000
Be 0.0000 0.0000 2.4220
Be 3.7169 3.7169 2.4220
Ag 1.0222 4.7391 2.4220
Ag 2.6947 1.0222 2.4220
Ag 4.7391 6.4115 2.4220
Ag 6.4115 2.6947 2.4220
```

---

(2)
Compound: SrBe2Ag
Source: Alexandria
Functional: PBE-GGA
Structure: optimized geometry Values from VASP.

Energy above the lowest structure with this stoichiometry   1.19 eV/f.u.
Calculated volume   73 Å³/cell

```
&SYSTEM
  ibrav = 0, nat = 4, ntyp = 3
/
ATOMIC_SPECIES
Sr 87.62 Sr.upf
Be 9.01 Be.upf
Ag 107.87 Ag.upf
CELL_PARAMETERS angstrom
3.1970 0.0000 0.0000
0.0000 3.2470 0.0000
0.0000 0.0000 7.0002
ATOMIC_POSITIONS angstrom
Sr 0.0000 0.0000 0.0000
Be 1.5985 1.6235 2.3368
Be 1.5985 1.6235 4.6634
Ag 0.0000 0.0000 3.5001
```

---

(3)
Compound: SrBe2Ag
Source: Alexandria
Functional: PBE-GGA
Structure: optimized geometry Values from VASP.

Energy above the lowest structure with this stoichiometry   2.61 eV/f.u.
Calculated volume   83 Å³/cell

```
&SYSTEM
  ibrav = 0, nat = 4, ntyp = 3
/
ATOMIC_SPECIES
Sr 87.62 Sr.upf
Be 9.01 Be.upf
Ag 107.87 Ag.upf
CELL_PARAMETERS angstrom
4.3487 0.0000 0.0000
0.0000 4.3487 0.0000
0.0000 0.0000 4.4052
ATOMIC_POSITIONS angstrom
Sr 0.0000 0.0000 0.0000
Be 0.0000 2.1744 2.2026
Be 2.1744 0.0000 2.2026
Ag 2.1744 2.1744 0.0000
```

---

(4)
Compound: Sr2Be2Ag
Source: Alexandria
Functional: PBE-GGA
Structure: optimized geometry Values from VASP.

Energy above the lowest structure with this stoichiometry   0.00 eV/f.u.
Calculated volume   122 Å³/cell

```
&SYSTEM
  ibrav = 0, nat = 5, ntyp = 3
/
ATOMIC_SPECIES
Sr 87.62 Sr.upf
Be 9.01 Be.upf
Ag 107.87 Ag.upf
CELL_PARAMETERS angstrom
-1.7463 1.7463 9.9818
1.7463 -1.7463 9.9818
1.7463 1.7463 -9.9818
ATOMIC_POSITIONS angstrom
Sr 0.0000 0.0000 2.2022
Sr 0.0000 0.0000 17.7615
Be 1.7463 0.0000 4.9909
Be 0.0000 1.7463 4.9909
Ag 0.0000 0.0000 9.9818
```

---

(5)
Compound: SrBe2Ag
Source: Alexandria
Functional: PBE-GGA
Structure: optimized geometry Values from VASP.

Energy above the lowest structure with this stoichiometry   0.77 eV/f.u.
Calculated volume   80 Å³/cell

```
&SYSTEM
  ibrav = 0, nat = 4, ntyp = 3
/
ATOMIC_SPECIES
Sr 87.62 Sr.upf
Be 9.01 Be.upf
Ag 107.87 Ag.upf
CELL_PARAMETERS angstrom
3.7045 0.0000 0.0000
0.0000 3.8876 0.0000
-1.8190 0.0000 5.5800
ATOMIC_POSITIONS angstrom
Sr 0.0000 0.0000 0.0000
Be 0.0356 0.0000 3.0596
Be 0.0287 1.9438 3.8809
Ag 1.8791 1.9438 2.4690
```

---

(6)
Compound: Sr2Be2Ag
Source: Alexandria
Functional: PBE-GGA
Structure: optimized geometry Values from VASP.

Energy above the lowest structure with this stoichiometry   0.76 eV/f.u.
Calculated volume   277 Å³/cell

```
&SYSTEM
  ibrav = 0, nat = 10, ntyp = 3
/
ATOMIC_SPECIES
Sr 87.62 Sr.upf
Be 9.01 Be.upf
Ag 107.87 Ag.upf
CELL_PARAMETERS angstrom
8.8301 0.0000 0.0000
0.0000 8.8301 0.0000
0.0000 0.0000 3.5503
ATOMIC_POSITIONS angstrom
Sr 1.7245 2.6905 0.0000
Sr 2.6905 7.1056 0.0000
Sr 6.1396 1.7245 0.0000
Sr 7.1056 6.1396 0.0000
Be 0.7280 5.1431 1.7751
Be 3.6871 0.7280 1.7751
Be 5.1431 8.1021 1.7751
Be 8.1021 3.6871 1.7751
Ag 0.0000 0.0000 0.0000
Ag 4.4151 4.4151 0.0000
```

---

(7)
Compound: SrBe2Ag
Source: Alexandria
Functional: PBE-GGA
Structure: optimized geometry Values from VASP.

Energy above the lowest structure with this stoichiometry   0.00 eV/f.u.
Calculated volume   81 Å³/cell

```
&SYSTEM
  ibrav = 0, nat = 4, ntyp = 3
/
ATOMIC_SPECIES
Sr 87.62 Sr.upf
Be 9.01 Be.upf
Ag 107.87 Ag.upf
CELL_PARAMETERS angstrom
3.5791 -2.0634 0.0000
3.5791 2.0634 0.0000
-2.3765 0.0000 5.4569
ATOMIC_POSITIONS angstrom
Sr 0.0000 0.0000 0.0000
Be 0.0069 0.0000 2.9920
Be 4.7748 0.0000 2.4649
Ag 2.3909 0.0000 2.7285
```

---

(8)
Compound: SrTaBe2Ag
Source: Alexandria
Functional: PBE-GGA
Structure: optimized geometry Values from VASP.

Energy   -16.7 eV/cell
Calculated volume   107 Å³/cell

```
&SYSTEM
  ibrav = 0, nat = 5, ntyp = 4
/
ATOMIC_SPECIES
Sr 87.62 Sr.upf
Ta 180.95 Ta.upf
Be 9.01 Be.upf
Ag 107.87 Ag.upf
CELL_PARAMETERS angstrom
4.4613 0.0000 0.0000
0.0000 4.4613 0.0000
0.0000 0.0000 5.3606
ATOMIC_POSITIONS angstrom
Sr 0.0000 0.0000 0.0000
Ta 2.2306 2.2306 0.0000
Be 0.0000 2.2306 2.6803
Be 2.2306 0.0000 2.6803
Ag 0.0000 0.0000 2.6803
```

---

(9)
Compound: SrBe2VAg
Source: Alexandria
Functional: PBE-GGA
Structure: optimized geometry Values from VASP.

Energy   -15.5 eV/cell
Calculated volume   116 Å³/cell

```
&SYSTEM
  ibrav = 0, nat = 5, ntyp = 4
/
ATOMIC_SPECIES
Sr 87.62 Sr.upf
Be 9.01 Be.upf
V 50.94 V.upf
Ag 107.87 Ag.upf
CELL_PARAMETERS angstrom
4.5660 0.0000 0.0000
0.0000 4.5660 0.0000
0.0000 0.0000 5.5557
ATOMIC_POSITIONS angstrom
Sr 0.0000 0.0000 0.0000
Be 0.0000 2.2830 2.7779
Be 2.2830 0.0000 2.7779
V 2.2830 2.2830 0.0000
Ag 0.0000 0.0000 2.7779
```

---

(10)
Compound: Ta2BeAg
Source: Alexandria
Functional: PBE-GGA
Structure: optimized geometry Values from VASP.

Energy   -28.7 eV/cell
Calculated volume   65 Å³/cell

```
&SYSTEM
  ibrav = 0, nat = 4, ntyp = 3
/
ATOMIC_SPECIES
Ta 180.95 Ta.upf
Be 9.01 Be.upf
Ag 107.87 Ag.upf
CELL_PARAMETERS angstrom
4.9017 -1.4258 0.0000
4.9017 1.4258 0.0000
-1.0231 0.0000 4.6755
ATOMIC_POSITIONS angstrom
Ta 2.1501 0.0000 1.1243
Ta 6.6303 0.0000 3.5512
Be 4.9017 0.0000 0.0000
Ag -0.5115 0.0000 2.3377
```

---

(11)
Compound: TaBe2Ag
Source: Alexandria
Functional: PBE-GGA
Structure: optimized geometry Values from VASP.

Energy above the lowest structure with this stoichiometry   1.82 eV/f.u.
Calculated volume   57 Å³/cell

```
&SYSTEM
  ibrav = 0, nat = 4, ntyp = 3
/
ATOMIC_SPECIES
Ta 180.95 Ta.upf
Be 9.01 Be.upf
Ag 107.87 Ag.upf
CELL_PARAMETERS angstrom
-1.3626 2.4538 4.2930
1.3626 -2.4538 4.2930
1.3626 2.4538 -4.2930
ATOMIC_POSITIONS angstrom
Ta 0.0000 0.0000 0.0000
Be 1.3626 0.0000 2.2440
Be 0.0000 2.4538 2.0490
Ag 0.0000 0.0000 4.2930
```

---

(12)
Compound: Ta2BeAg
Source: Alexandria
Functional: PBE-GGA
Structure: optimized geometry Values from VASP.

Energy   -29.8 eV/cell
Calculated volume   62 Å³/cell

```
&SYSTEM
  ibrav = 0, nat = 4, ntyp = 3
/
ATOMIC_SPECIES
Ta 180.95 Ta.upf
Be 9.01 Be.upf
Ag 107.87 Ag.upf
CELL_PARAMETERS angstrom
2.8283 0.0000 0.0000
0.0000 2.8283 0.0000
0.0000 0.0000 7.7997
ATOMIC_POSITIONS angstrom
Ta 0.0000 0.0000 0.0000
Ta 1.4142 1.4142 2.3150
Be 1.4142 1.4142 6.0789
Ag 0.0000 0.0000 4.5617
```

---

(13)
Compound: Ta2BeAg
Source: Alexandria
Functional: PBE-GGA
Structure: optimized geometry Values from VASP.

Energy   -28.9 eV/cell
Calculated volume   64 Å³/cell

```
&SYSTEM
  ibrav = 0, nat = 4, ntyp = 3
/
ATOMIC_SPECIES
Ta 180.95 Ta.upf
Be 9.01 Be.upf
Ag 107.87 Ag.upf
CELL_PARAMETERS angstrom
3.9775 0.0000 0.0000
0.0000 3.9954 0.0000
0.0000 0.0000 4.0296
ATOMIC_POSITIONS angstrom
Ta 0.0000 0.0000 0.0000
Ta 1.9887 1.9977 0.0000
Be 0.0000 1.9977 2.0148
Ag 1.9887 0.0000 2.0148
```

---

(14)
Compound: Ta2BeAg
Source: Alexandria
Functional: PBE-GGA
Structure: optimized geometry Values from VASP.

Energy   -29.1 eV/cell
Calculated volume   64 Å³/cell

```
&SYSTEM
  ibrav = 0, nat = 4, ntyp = 3
/
ATOMIC_SPECIES
Ta 180.95 Ta.upf
Be 9.01 Be.upf
Ag 107.87 Ag.upf
CELL_PARAMETERS angstrom
2.8458 0.0000 0.0000
0.0000 3.9269 0.0000
0.0000 0.0000 5.6947
ATOMIC_POSITIONS angstrom
Ta 0.0000 0.0000 1.3312
Ta 0.0000 0.0000 4.3635
Be 1.4229 1.9635 0.0000
Ag 1.4229 1.9635 2.8474
```

---

(15)
Compound: TaBe2Ag
Source: Alexandria
Functional: PBE-GGA
Structure: optimized geometry Values from VASP.

Energy above the lowest structure with this stoichiometry   1.16 eV/f.u.
Calculated volume   57 Å³/cell

```
&SYSTEM
  ibrav = 0, nat = 4, ntyp = 3
/
ATOMIC_SPECIES
Ta 180.95 Ta.upf
Be 9.01 Be.upf
Ag 107.87 Ag.upf
CELL_PARAMETERS angstrom
1.4101 0.8141 8.2602
-1.4101 0.8141 8.2602
0.0000 -1.6282 8.2602
ATOMIC_POSITIONS angstrom
Ta 0.0000 0.0000 0.0000
Be 0.0000 0.0000 6.1328
Be 0.0000 0.0000 18.6478
Ag 0.0000 0.0000 12.3903
```

---

(16)
Compound: TaBeAg4
Source: Alexandria
Functional: PBE-GGA
Structure: optimized geometry Values from VASP.

Energy   -22.4 eV/cell
Calculated volume   107 Å³/cell

```
&SYSTEM
  ibrav = 0, nat = 6, ntyp = 3
/
ATOMIC_SPECIES
Ta 180.95 Ta.upf
Be 9.01 Be.upf
Ag 107.87 Ag.upf
CELL_PARAMETERS angstrom
0.0000 3.7663 3.7663
3.7663 0.0000 3.7663
3.7663 3.7663 0.0000
ATOMIC_POSITIONS angstrom
Ta 0.0000 0.0000 0.0000
Be 5.6494 5.6494 5.6494
Ag 2.8246 2.8246 2.8246
Ag 4.7079 4.7079 2.8246
Ag 4.7079 2.8246 4.7079
Ag 2.8246 4.7079 4.7079
```

---

(17)
Compound: TaBe2Ag
Source: Alexandria
Functional: PBE-GGA
Structure: optimized geometry Values from VASP.

Energy above the lowest structure with this stoichiometry   0.08 eV/f.u.
Calculated volume   52 Å³/cell

```
&SYSTEM
  ibrav = 0, nat = 4, ntyp = 3
/
ATOMIC_SPECIES
Ta 180.95 Ta.upf
Be 9.01 Be.upf
Ag 107.87 Ag.upf
CELL_PARAMETERS angstrom
2.7789 0.0000 0.0000
0.0000 2.7789 0.0000
0.0000 0.0000 6.7283
ATOMIC_POSITIONS angstrom
Ta 0.0000 0.0000 0.0000
Be 0.0000 0.0000 3.9469
Be 1.3894 1.3894 5.0130
Ag 1.3894 1.3894 2.3207
```

---

(18)
Compound: TaBe2Ag
Source: Alexandria
Functional: PBE-GGA
Structure: optimized geometry Values from VASP.

Energy above the lowest structure with this stoichiometry   0.85 eV/f.u.
Calculated volume   54 Å³/cell

```
&SYSTEM
  ibrav = 0, nat = 4, ntyp = 3
/
ATOMIC_SPECIES
Ta 180.95 Ta.upf
Be 9.01 Be.upf
Ag 107.87 Ag.upf
CELL_PARAMETERS angstrom
4.7290 -1.3039 0.0000
4.7290 1.3039 0.0000
-1.4078 0.0000 4.3580
ATOMIC_POSITIONS angstrom
Ta 0.0000 0.0000 0.0000
Be 1.1258 0.0000 3.6554
Be 4.4497 0.0000 2.3335
Ag 6.9597 0.0000 1.6155
```

---

(19)
Compound: TaBe2Ag
Source: Alexandria
Functional: PBE-GGA
Structure: optimized geometry Values from VASP.

Energy above the lowest structure with this stoichiometry   0.30 eV/f.u.
Calculated volume   52 Å³/cell

```
&SYSTEM
  ibrav = 0, nat = 4, ntyp = 3
/
ATOMIC_SPECIES
Ta 180.95 Ta.upf
Be 9.01 Be.upf
Ag 107.87 Ag.upf
CELL_PARAMETERS angstrom
3.7324 0.0000 0.0000
0.0000 1.4338 4.8926
0.0000 -1.4338 4.8926
ATOMIC_POSITIONS angstrom
Ta 0.0000 0.0000 0.0000
Be 0.0000 0.0000 2.7074
Be 1.8662 0.0000 3.9238
Ag 1.8662 0.0000 6.7737
```

---

(20)
Compound: Ta2BeAg
Source: Alexandria
Functional: PBE-GGA
Structure: optimized geometry Values from VASP.

Energy   -29.8 eV/cell
Calculated volume   62 Å³/cell

```
&SYSTEM
  ibrav = 0, nat = 4, ntyp = 3
/
ATOMIC_SPECIES
Ta 180.95 Ta.upf
Be 9.01 Be.upf
Ag 107.87 Ag.upf
CELL_PARAMETERS angstrom
1.9649 -1.9697 0.0000
1.9649 1.9697 0.0000
0.0000 0.0000 8.0268
ATOMIC_POSITIONS angstrom
Ta 0.0000 0.0000 1.7062
Ta 0.0000 0.0000 6.3207
Be 1.9649 0.0000 0.0000
Ag 1.9649 0.0000 4.0134
```